The following is a PBE calculation of a geometry-optimized Fe2ReTc structure, from Alexandria via LeMat-Bulk.

Cell: 2.6434 3.7338 5.2692 Å, 90.00 90.00 90.00°
Closest atoms and distances in Å follow each position.
Fractional coordinates of all 4 atoms:
Fe1 0.0000 0.0000 0.0000  2 Re 2.50-2.77, 6 Fe 2.59-2.64, 4 Tc 2.62
Fe2 0.5000 0.5000 0.2312  2 Tc 2.50-2.77, 6 Fe 2.59-2.64, 4 Re 2.62
Re1 0.0000 0.0000 0.4738  6 Fe 2.50-2.77, 2 Re 2.64, 4 Tc 2.73
Tc1 0.5000 0.5000 0.7576  6 Fe 2.50-2.77, 2 Tc 2.64, 4 Re 2.73

Space-group type = Pmm2 (25)
Calculated volume = 13.0 Å³/atom
Uncorrected energy = -9.82 eV per atom
Formation enthalpy at 0 K = 114.8 meV per atom

***

The following is a PBE calculation of a geometry-optimized Fe3ReTc structure, from Alexandria via LeMat-Bulk.

Cell: 4.3049 4.3049 4.3049 Å, 90.00 90.00 90.00°
Closest atoms and distances in Å follow each position.
Fractional coordinates of all 5 atoms:
Fe1 0.0000 0.0000 0.5000  2 Tc 2.15
Fe2 0.0000 0.5000 0.0000  2 Tc 2.15
Fe3 0.5000 0.0000 0.0000  2 Tc 2.15
Re1 0.5000 0.5000 0.5000  12 Fe 3.04
Tc1 0.0000 0.0000 0.0000  6 Fe 2.15

Space-group type = Pm-3m (221)
Calculated volume = 16.0 Å³/atom
Uncorrected energy = -7.79 eV per atom
Formation enthalpy at 0 K = 1854.0 meV per atom

***

The following is a PBE calculation of a geometry-optimized FeReTc2 structure, from Alexandria via LeMat-Bulk.

Cell: 5.0777 5.0777 5.0777 Å, 145.31 130.27 62.05°
Closest atoms and distances in Å follow each position.
Fractional coordinates of all 4 atoms:
Fe1 0.0000 0.0000 0.0000  4 Tc 2.56, 4 Re 2.62
Re1 0.5000 0.5000 0.0000  4 Fe 2.62, 4 Tc 2.74
Tc1 0.2370 0.7370 0.5000  2 Fe 2.56, 4 Tc 2.63, 2 Re 2.74
Tc2 0.7630 0.2630 0.5000  2 Fe 2.56, 4 Tc 2.63, 2 Re 2.74

Space-group type = Immm (71)
Calculated volume = 14.1 Å³/atom
Uncorrected energy = -10.24 eV per atom
Formation enthalpy at 0 K = 174.1 meV per atom

***

The following is a PBE calculation of a geometry-optimized FeRe2Tc structure, from Alexandria via LeMat-Bulk.

Cell: 4.6562 4.6562 4.6886 Å, 99.57 99.57 34.11°
Closest atoms and distances in Å follow each position.
Fractional coordinates of all 4 atoms:
Fe1 0.0000 0.0000 0.0000  7 Re 2.65-2.72, 3 Tc 2.68-2.69, 2 Fe 2.73
Re1 0.2546 0.2546 0.7647  4 Tc 2.65-2.78, 3 Fe 2.65-2.69, 5 Re 2.70-2.75
Re2 0.5008 0.5008 0.4995  3 Tc 2.68-2.72, 5 Re 2.70-2.75, 4 Fe 2.71-2.72
Tc1 0.7487 0.7487 0.2458  7 Re 2.65-2.78, 3 Fe 2.68-2.69, 2 Tc 2.73

Space-group type = Cm (8)
Calculated volume = 14.0 Å³/atom
Uncorrected energy = -10.81 eV per atom
Formation enthalpy at 0 K = 116.3 meV per atom

***

The following is a PBE calculation of a geometry-optimized FeRe3Tc2 structure, from Alexandria via LeMat-Bulk.

Cell: 2.7354 13.2453 4.7327 Å, 90.00 90.00 90.00°
Closest atoms and distances in Å follow each position.
Fractional coordinates of all 12 atoms:
Fe1 0.2500 0.2500 0.2480  4 Tc 2.67, 6 Re 2.68-2.78, 2 Fe 2.74
Fe2 0.7500 0.7500 0.7520  4 Tc 2.67, 6 Re 2.68-2.78, 2 Fe 2.74
Re1 0.2500 0.0845 0.5774  1 Fe 2.69, 5 Tc 2.70-2.77, 6 Re 2.72-2.74
Re2 0.2500 0.4155 0.5774  1 Fe 2.69, 5 Tc 2.70-2.77, 6 Re 2.72-2.74
Re3 0.2500 0.7500 0.2399  2 Tc 2.66, 4 Fe 2.68-2.78, 6 Re 2.73-2.74
Re4 0.7500 0.2500 0.7601  2 Tc 2.66, 4 Fe 2.68-2.78, 6 Re 2.73-2.74
Re5 0.7500 0.5845 0.4226  1 Fe 2.69, 5 Tc 2.70-2.77, 6 Re 2.72-2.74
Re6 0.7500 0.9155 0.4226  1 Fe 2.69, 5 Tc 2.70-2.77, 6 Re 2.72-2.74
Tc1 0.2500 0.5863 0.9136  6 Re 2.66-2.77, 2 Fe 2.67, 4 Tc 2.74-2.79
Tc2 0.2500 0.9137 0.9136  6 Re 2.66-2.77, 2 Fe 2.67, 4 Tc 2.74-2.79
Tc3 0.7500 0.0863 0.0864  6 Re 2.66-2.77, 2 Fe 2.67, 4 Tc 2.74-2.79
Tc4 0.7500 0.4137 0.0864  6 Re 2.66-2.77, 2 Fe 2.67, 4 Tc 2.74-2.79

Space-group type = Pmmn (59)
Calculated volume = 14.3 Å³/atom
Uncorrected energy = -11.00 eV per atom
Formation enthalpy at 0 K = 85.7 meV per atom

***

The following is a PBE calculation of a geometry-optimized Fe2ReTc structure, from Alexandria via LeMat-Bulk.

Cell: 4.9127 4.9127 4.9127 Å, 144.05 129.52 63.52°
Closest atoms and distances in Å follow each position.
Fractional coordinates of all 4 atoms:
Fe1 0.0000 0.0000 0.0000  2 Fe 2.48, 4 Re 2.59, 2 Tc 2.61
Fe2 0.7652 0.2652 0.5000  2 Fe 2.48, 4 Tc 2.59, 2 Re 2.60
Re1 0.5130 0.5130 0.0000  6 Fe 2.59-2.60, 2 Tc 2.64
Tc1 0.2539 0.7539 0.5000  6 Fe 2.59-2.61, 2 Re 2.64

Space-group type = Imm2 (44)
Calculated volume = 13.3 Å³/atom
Uncorrected energy = -9.85 eV per atom
Formation enthalpy at 0 K = 84.9 meV per atom

***

The following is a PBE calculation of a geometry-optimized Fe2ReTc structure, from Alexandria via LeMat-Bulk.

Cell: 3.7352 3.7352 3.6105 Å, 90.00 90.00 90.00°
Closest atoms and distances in Å follow each position.
Fractional coordinates of all 4 atoms:
Fe1 0.0000 0.5000 0.0000  4 Tc 2.60, 4 Re 2.60, 4 Fe 2.64
Fe2 0.5000 0.0000 0.0000  4 Tc 2.60, 4 Re 2.60, 4 Fe 2.64
Re1 0.0000 0.0000 0.5000  8 Fe 2.60, 4 Tc 2.64
Tc1 0.5000 0.5000 0.5000  8 Fe 2.60, 4 Re 2.64

Space-group type = P4/mmm (123)
Calculated volume = 12.6 Å³/atom
Uncorrected energy = -9.85 eV per atom
Formation enthalpy at 0 K = 88.7 meV per atom

***

The following is a PBE calculation of a geometry-optimized FeRe4Tc structure, from Alexandria via LeMat-Bulk.

Cell: 5.1078 5.1078 5.1078 Å, 60.00 60.00 60.00°
Closest atoms and distances in Å follow each position.
Fractional coordinates of all 6 atoms:
Fe1 0.0000 0.0000 0.0000  12 Re 2.99, 4 Tc 3.13
Re1 0.1228 0.6257 0.6257  6 Re 2.54-2.57
Re2 0.6257 0.1228 0.6257  6 Re 2.54-2.57
Re3 0.6257 0.6257 0.1228  6 Re 2.54-2.57
Re4 0.6257 0.6257 0.6257  6 Re 2.54-2.57
Tc1 0.2500 0.2500 0.2500  12 Re 3.00, 4 Fe 3.13

Space-group type = F-43m (216)
Calculated volume = 15.7 Å³/atom
Uncorrected energy = -11.00 eV per atom
Formation enthalpy at 0 K = 435.1 meV per atom

***

The following is a PBE calculation of a geometry-optimized FeRe2Tc structure, from Alexandria via LeMat-Bulk.

Cell: 5.0869 5.0869 5.0869 Å, 145.30 130.09 62.21°
Closest atoms and distances in Å follow each position.
Fractional coordinates of all 4 atoms:
Fe1 0.0000 0.0000 0.0000  6 Re 2.55-2.63, 2 Tc 2.58
Re1 0.2358 0.7358 0.5000  2 Fe 2.55, 4 Tc 2.64, 2 Re 2.73
Re2 0.4962 0.4962 0.0000  4 Fe 2.63, 2 Re 2.73, 2 Tc 2.75
Tc1 0.7599 0.2599 0.5000  2 Fe 2.58, 6 Re 2.64-2.75

Space-group type = Imm2 (44)
Calculated volume = 14.2 Å³/atom
Uncorrected energy = -10.76 eV per atom
Formation enthalpy at 0 K = 173.6 meV per atom

***

The following is a PBE calculation of a geometry-optimized FeRe2Tc structure, from Alexandria via LeMat-Bulk.

Cell: 4.6735 4.6735 4.6735 Å, 131.63 131.63 70.82°
Closest atoms and distances in Å follow each position.
Fractional coordinates of all 4 atoms:
Fe1 0.0000 0.0000 0.0000  8 Re 2.70, 4 Tc 2.71
Re1 0.2500 0.7500 0.5000  4 Tc 2.70, 4 Fe 2.70, 4 Re 2.71
Re2 0.7500 0.2500 0.5000  4 Tc 2.70, 4 Fe 2.70, 4 Re 2.71
Tc1 0.5000 0.5000 0.0000  8 Re 2.70, 4 Fe 2.71

Space-group type = I4/mmm (139)
Calculated volume = 14.0 Å³/atom
Uncorrected energy = -10.86 eV per atom
Formation enthalpy at 0 K = 68.7 meV per atom

***

The following is a PBE calculation of a geometry-optimized FeRe2Tc structure, from Alexandria via LeMat-Bulk.

Cell: 4.6610 4.6610 4.6954 Å, 99.61 99.61 34.13°
Closest atoms and distances in Å follow each position.
Fractional coordinates of all 4 atoms:
Fe1 0.0000 0.0000 0.0000  6 Re 2.67-2.70, 4 Tc 2.72, 2 Fe 2.74
Re1 0.2528 0.2528 0.7567  6 Re 2.67-2.76, 3 Fe 2.67-2.70, 3 Tc 2.69-2.73
Re2 0.7472 0.7472 0.2433  6 Re 2.67-2.76, 3 Fe 2.67-2.70, 3 Tc 2.69-2.73
Tc1 0.5000 0.5000 0.5000  6 Re 2.69-2.73, 4 Fe 2.72, 2 Tc 2.74

Space-group type = C2/m (12)
Calculated volume = 14.1 Å³/atom
Uncorrected energy = -10.82 eV per atom
Formation enthalpy at 0 K = 114.9 meV per atom

***

The following is a PBE calculation of a geometry-optimized FeReTc2 structure, from Alexandria via LeMat-Bulk.

Cell: 8.8348 8.8348 8.8348 Å, 17.77 17.77 17.77°
Closest atoms and distances in Å follow each position.
Fractional coordinates of all 4 atoms:
Fe1 0.0000 0.0000 0.0000  6 Tc 2.60-2.64, 6 Fe 2.73
Re1 0.8344 0.8344 0.8344  6 Re 2.73, 6 Tc 2.74-2.75
Tc1 0.4146 0.4146 0.4146  3 Fe 2.64, 6 Tc 2.73, 3 Re 2.75
Tc2 0.5872 0.5872 0.5872  3 Fe 2.60, 6 Tc 2.73, 3 Re 2.74

Space-group type = R3m (160)
Calculated volume = 14.0 Å³/atom
Uncorrected energy = -10.31 eV per atom
Formation enthalpy at 0 K = 100.3 meV per atom

***

> Which formula does entry 9 have?

FeRe2Tc

***

> Look up the formation enthalpy at 0 K of the third one.

174.1 meV per atom

***

> The lowest formation enthalpy at 0 K belongs to which entry?

number 10